6
Lattice="3.128 -0.014 -0.004 -1.556 5.478 0.020 -1.549 -0.486 6.451" Properties=species:S:1:pos:R:3 comment="MgSnB, relaxed, DFT PBE" polymorph_energy_mev_per_atom=61.4 energy_ry_per_atom=-0.2914 spacegroup="No. 1" formation_energy_ev_per_atom=0.13 pbc="T T T"
Mg 0.637 4.469 1.815
Mg 0.651 3.429 5.599
B 0.636 2.677 3.357
B -0.926 3.199 3.469
Sn 0.635 1.530 0.772
Sn 0.638 0.388 4.105

5
Lattice="-1.119 -4.742 -3.141 3.905 -3.186 3.418 -4.305 -1.386 3.627" Properties=species:S:1:pos:R:3 comment="CaZnTe2F, relaxed, DFT PBE" e_form_raw_kj_per_mol_atoms=2 energy_ry_per_atom=-0.1668 spacegroup="No. 123" pbc="T T T"
Zn 1.953 -1.593 1.709
Te -2.152 -0.693 1.813
Te -0.560 -2.371 -1.571
Ca 0.000 0.000 0.000
F -0.759 -4.657 1.952

14
Lattice="-0.919 2.923 -2.647 3.349 -4.004 -5.584 -6.648 -3.457 -1.508" Properties=species:S:1:pos:R:3 comment="LaAl4Ni2, relaxed, DFT PBE" polymorph_energy_mev_per_atom=85.5 energy_ry_per_atom=-0.3680 spacegroup="No. 136" formation_energy_ev_per_atom=-0.51 pbc="T T T"
La -0.460 1.461 -1.324
La -1.650 -3.731 -3.546
Al -1.952 -1.496 -0.974
Al -1.347 -5.965 -6.118
Al -3.791 -1.214 -3.121
Al -0.428 -3.325 -6.618
Al -4.622 -3.095 -4.909
Al 0.404 -1.444 -4.831
Al 0.568 -1.634 -2.001
Al -3.867 -5.827 -5.090
Ni -4.439 -3.578 -2.409
Ni 1.140 -3.883 -4.683
Ni -2.838 -3.918 -6.437
Ni -1.380 -0.621 -3.303

19
Lattice="8.552 0.056 0.050 1.165 8.473 0.050 1.165 1.022 8.411" Properties=species:S:1:pos:R:3 comment="Rb2Ba2Sn15, relaxed, DFT PBE" energy_ry_per_atom=-0.2645 spacegroup="No. 166" formation_energy_ev_per_atom=-0.13 pbc="T T T"
Rb 1.054 0.925 0.825
Rb 9.827 8.625 7.686
Ba 3.857 3.385 3.016
Ba 7.025 6.166 5.494
Sn 4.276 0.028 0.025
Sn 0.582 0.511 4.206
Sn 0.582 4.236 0.025
Sn 1.165 6.200 2.600
Sn 6.299 2.623 0.050
Sn 3.418 0.727 5.860
Sn 3.418 5.905 0.050
Sn 6.299 0.351 2.600
Sn 1.165 3.295 5.860
Sn 2.773 6.071 5.410
Sn 6.379 5.599 1.328
Sn 6.379 1.962 5.410
Sn 8.109 3.480 3.101
Sn 4.502 3.952 7.182
Sn 4.502 7.589 3.101

5
Lattice="3.444 0.000 0.000 0.000 3.444 0.000 0.000 0.000 3.357" Properties=species:S:1:pos:R:3 comment="NbCN2O, relaxed, DFT PBE" e_form_raw_kj_per_mol_atoms=92 energy_ry_per_atom=-0.5311 spacegroup="No. 123" pbc="T T T"
Nb 1.722 1.722 1.679
C 0.000 0.000 0.000
O 0.000 0.000 1.679
N 0.000 1.722 0.000
N 1.722 0.000 0.000

12
Lattice="4.201 0.000 0.000 0.000 8.705 -0.254 0.000 -2.535 9.120" Properties=species:S:1:pos:R:3 comment="BaUPdSe3, relaxed, DFT PBE" e_form_raw_kj_per_mol_atoms=-123 energy_ry_per_atom=-0.4475 spacegroup="No. 11" pbc="T T T"
Ba 1.050 1.086 2.292
Ba 3.151 5.084 6.575
U 1.050 5.532 1.327
U 3.151 0.639 7.539
Pd 1.050 -0.693 5.432
Pd 3.151 6.863 3.434
Se 3.151 7.455 0.910
Se 1.050 -1.285 7.956
Se 1.050 5.457 4.083
Se 3.151 0.713 4.783
Se 3.151 3.503 1.312
Se 1.050 2.667 7.554

6
Lattice="-0.979 -0.921 3.955 3.565 -2.142 0.384 2.457 4.383 1.629" Properties=species:S:1:pos:R:3 comment="CaVH, relaxed, DFT PBE" polymorph_energy_mev_per_atom=479.8 energy_ry_per_atom=-0.3259 spacegroup="No. 129" pbc="T T T"
H 2.666 0.505 0.778
H 1.084 2.346 3.021
Ca 1.229 2.191 0.815
Ca 2.522 0.660 2.984
V 1.836 -0.976 0.227
V 1.914 3.827 3.571

4
Lattice="6.688 0.000 0.001 -2.554 5.042 -0.008 1.580 0.812 2.736" Properties=species:S:1:pos:R:3 comment="Mg2ZrBr, relaxed, DFT PBE" polymorph_energy_mev_per_atom=197.5 e_form_raw_kj_per_mol_atoms=-8 energy_ry_per_atom=-0.2524 spacegroup="No. 12" pbc="T T T"
Br 2.067 2.521 -0.004
Mg 0.000 0.000 0.000
Mg 4.134 0.406 1.369
Zr -0.487 2.927 1.364

What did the third record say?
14
Lattice="-0.919 2.923 -2.647 3.349 -4.004 -5.584 -6.648 -3.457 -1.508" Properties=species:S:1:pos:R:3 comment="LaAl4Ni2, relaxed, DFT PBE" polymorph_energy_mev_per_atom=85.5 energy_ry_per_atom=-0.3680 spacegroup="No. 136" formation_energy_ev_per_atom=-0.51 pbc="T T T"
La -0.460 1.461 -1.324
La -1.650 -3.731 -3.546
Al -1.952 -1.496 -0.974
Al -1.347 -5.965 -6.118
Al -3.791 -1.214 -3.121
Al -0.428 -3.325 -6.618
Al -4.622 -3.095 -4.909
Al 0.404 -1.444 -4.831
Al 0.568 -1.634 -2.001
Al -3.867 -5.827 -5.090
Ni -4.439 -3.578 -2.409
Ni 1.140 -3.883 -4.683
Ni -2.838 -3.918 -6.437
Ni -1.380 -0.621 -3.303